1.
Below is a geometry-optimized Cs2CdBr2F2 structure, with properties calculated at the PBE level.

Properties
uncorrected formation energy = -13.73 eV per formula unit
calculated total energy = -3.35 eV per atom

abc: 4.9490 4.9490 17.1186
angles: 90.00 90.00 90.00
With the nearest neighbours (Å) after each atom.
Space group I4/mmm (No. 139)
Unique sites:
Cs 0.0000 0.0000 0.1186 [4 per cell]  4 F 3.20, 4 Br 3.56
Cd 0.0000 0.0000 0.5000 [2 per cell]  4 F 2.47, 2 Br 2.68
Br 0.0000 0.0000 0.3433 [4 per cell]  1 Cd 2.68
F 0.0000 0.5000 0.0000 [4 per cell]  2 Cd 2.47

2.
Below is a geometry-optimized Cs2CdBr3F structure, with properties calculated at the PBE level.

Properties
uncorrected formation energy = -11.68 eV per formula unit
calculated total energy = -3.03 eV per atom

abc: 4.6609 5.7274 18.4259
angles: 90.00 90.00 90.00
With the nearest neighbours (Å) after each atom.
Space group Immm (No. 71)
Unique sites:
Cs 0.0000 0.0000 0.1452 [4 per cell]  7 Br 3.55-3.75, 2 F 3.92
Cd 0.0000 0.0000 0.5000 [2 per cell]  2 F 2.33
Br 0.0000 0.0000 0.3487 [4 per cell]  1 Cd 2.79
Br 0.0000 0.5000 0.5000 [2 per cell]  2 Cd 2.86
F 0.0000 0.5000 0.0000 [2 per cell]  2 Cd 2.33

3.
Below is a geometry-optimized CsCdBrF2 structure, with properties calculated at the PBE level.

Properties
uncorrected formation energy = -9.66 eV per formula unit
calculated total energy = -3.37 eV per atom

abc: 4.7613 4.7613 5.4268
angles: 90.00 90.00 90.00
With the nearest neighbours (Å) after each atom.
Space group P4/mmm (No. 123)
Unique sites:
Cs 0.0000 0.0000 0.0000 [1 per cell]  4 Br 3.37, 8 F 3.61
Cd 0.5000 0.5000 0.5000 [1 per cell]  4 F 2.38
Br 0.5000 0.5000 0.0000 [1 per cell]  2 Cd 2.71
F 0.0000 0.5000 0.5000 [2 per cell]  2 Cd 2.38